Pm2Pr2Ho7, optimized geometry, DFT GGA-PBE; N(E_F) = 1.621 states/eV per atom; energy = -49.47 eV per cell; SG = C2/m (12); calculated formation energy = 149 meV/atom; magnetic moment = 0.00 μB/f.u.
1.0
-2.3707 4.8165 2.9072
1.7944 -0.9575 7.8527
5.3966 6.0093 -0.7522
Pm Pr Ho
2 2 7
Cartesian
3.4529 6.9508 2.5130
1.3675 2.9175 7.4946
0.9640 5.9361 5.2097
3.8563 3.9322 4.7980
2.8772 4.3267 0.5831
3.8293 9.1895 4.9189
1.9432 5.5416 9.4245
0.9910 0.6788 5.0888
0.0000 0.0000 0.0000
4.1559 6.6537 7.1268
0.6644 3.2147 2.8808